Pm2HoPd8 | PBE | optimized geometry

Volume ... 18.8 Å³/atom
Total moment ... 0.000 Bohr magnetons per cell
Total energy ... -5.76 eV/atom
E_form ... -0.700 eV/atom

Unit cell a=7.764 b=7.764 c=6.849 alpha=108.04 beta=108.04 gamma=31.85
Atoms (fractional coordinates):
1 Pm 0.217 0.217 0.165
2 Pm 0.783 0.783 0.835
3 Ho 0.500 0.500 0.500
4 Pd 0.035 0.035 0.219
5 Pd 0.139 0.139 0.670
6 Pd 0.325 0.325 0.596
7 Pd 0.412 0.412 0.054
8 Pd 0.588 0.588 0.946
9 Pd 0.675 0.675 0.404
10 Pd 0.861 0.861 0.330
11 Pd 0.965 0.965 0.781

***

Pm2HoPd3 | PBE | optimized geometry

Volume ... 25.1 Å³/atom
Total moment ... 0.000 Bohr magnetons per cell
Total energy ... -5.65 eV/atom
E_form ... -0.705 eV/atom
Excess energy over the best structure of this formula in the dataset ... 0.1091 eV per atom

Unit cell a=7.161 b=7.161 c=8.295 alpha=106.84 beta=106.84 gamma=48.34
Atoms (fractional coordinates):
1 Pm 0.163 0.173 0.084
2 Pm 0.173 0.163 0.584
3 Pm 0.827 0.837 0.416
4 Pm 0.837 0.827 0.916
5 Ho 0.488 0.512 0.750
6 Ho 0.512 0.488 0.250
7 Pd 0.012 0.988 0.250
8 Pd 0.334 0.345 0.420
9 Pd 0.345 0.334 0.920
10 Pd 0.655 0.666 0.080
11 Pd 0.666 0.655 0.580
12 Pd 0.988 0.012 0.750

***

PmHoPd2 | PBE | optimized geometry

Volume ... 22.4 Å³/atom
Total moment ... 0.000 Bohr magnetons per cell
Total energy ... -5.75 eV/atom
E_form ... -0.825 eV/atom
Excess energy over the best structure of this formula in the dataset ... 0.0502 eV per atom

Unit cell a=5.023 b=5.023 c=5.023 alpha=60.00 beta=60.00 gamma=60.00
Atoms (fractional coordinates):
1 Pm 0.000 0.000 0.000
2 Ho 0.500 0.500 0.500
3 Pd 0.250 0.250 0.250
4 Pd 0.750 0.750 0.750

***

PmHoPd2 | PBE | optimized geometry

Volume ... 22.2 Å³/atom
Total moment ... 0.000 Bohr magnetons per cell
Total energy ... -5.76 eV/atom
E_form ... -0.828 eV/atom
Excess energy over the best structure of this formula in the dataset ... 0.0482 eV per atom

Unit cell a=3.485 b=3.485 c=7.324 alpha=90.00 beta=90.00 gamma=90.00
Atoms (fractional coordinates):
1 Pm 0.000 0.000 0.000
2 Ho 0.000 0.000 0.500
3 Pd 0.500 0.500 0.268
4 Pd 0.500 0.500 0.732

***

PmHo2Pd9 | PBE | optimized geometry

Volume ... 17.7 Å³/atom
Total moment ... 0.000 Bohr magnetons per cell
Total energy ... -5.91 eV/atom
E_form ... -0.852 eV/atom

Unit cell a=4.142 b=4.142 c=12.393 alpha=90.00 beta=90.00 gamma=90.00
Atoms (fractional coordinates):
1 Pm 0.000 0.000 0.000
2 Ho 0.000 0.000 0.336
3 Ho 0.000 0.000 0.664
4 Pd 0.000 0.500 0.171
5 Pd 0.000 0.500 0.500
6 Pd 0.000 0.500 0.829
7 Pd 0.500 0.000 0.171
8 Pd 0.500 0.000 0.500
9 Pd 0.500 0.000 0.829
10 Pd 0.500 0.500 0.000
11 Pd 0.500 0.500 0.335
12 Pd 0.500 0.500 0.665

***

PmHoPd2 | PBE | optimized geometry

Volume ... 24.7 Å³/atom
Total moment ... 0.000 Bohr magnetons per cell
Total energy ... -5.65 eV/atom
E_form ... -0.718 eV/atom
Excess energy over the best structure of this formula in the dataset ... 0.1573 eV per atom

Unit cell a=7.068 b=7.068 c=7.068 alpha=34.11 beta=34.11 gamma=34.11
Atoms (fractional coordinates):
1 Pm 0.000 0.000 0.000
2 Ho 0.500 0.500 0.500
3 Pd 0.246 0.246 0.246
4 Pd 0.754 0.754 0.754

***

Pm2HoPd3 | PBE | optimized geometry

Volume ... 22.6 Å³/atom
Total moment ... 0.000 Bohr magnetons per cell
Total energy ... -5.76 eV/atom
E_form ... -0.814 eV/atom
Excess energy over the best structure of this formula in the dataset ... 0.0000 eV per atom

Unit cell a=5.066 b=15.414 c=3.480 alpha=90.00 beta=90.00 gamma=90.00
Atoms (fractional coordinates):
1 Pm 0.250 0.084 0.002
2 Pm 0.250 0.416 0.002
3 Pm 0.750 0.584 0.998
4 Pm 0.750 0.916 0.998
5 Ho 0.250 0.750 0.998
6 Ho 0.750 0.250 0.002
7 Pd 0.250 0.250 0.502
8 Pd 0.250 0.594 0.498
9 Pd 0.250 0.906 0.498
10 Pd 0.750 0.094 0.502
11 Pd 0.750 0.406 0.502
12 Pd 0.750 0.750 0.498

***

PmHo2Pd3 | PBE | optimized geometry

Volume ... 21.9 Å³/atom
Total moment ... 0.000 Bohr magnetons per cell
Total energy ... -5.77 eV/atom
E_form ... -0.858 eV/atom
Excess energy over the best structure of this formula in the dataset ... 0.0000 eV per atom

Unit cell a=5.033 b=15.190 c=3.444 alpha=90.00 beta=90.00 gamma=90.00
Atoms (fractional coordinates):
1 Pm 0.250 0.250 0.001
2 Pm 0.750 0.750 0.999
3 Ho 0.250 0.583 0.000
4 Ho 0.250 0.917 0.000
5 Ho 0.750 0.083 0.000
6 Ho 0.750 0.417 0.000
7 Pd 0.250 0.075 0.500
8 Pd 0.250 0.425 0.500
9 Pd 0.250 0.750 0.499
10 Pd 0.750 0.250 0.501
11 Pd 0.750 0.575 0.500
12 Pd 0.750 0.925 0.500

***

Pm2HoPd4 | PBE | optimized geometry

Volume ... 24.9 Å³/atom
Total moment ... 0.000 Bohr magnetons per cell
Total energy ... -5.54 eV/atom
E_form ... -0.565 eV/atom

Unit cell a=5.291 b=5.291 c=7.893 alpha=114.54 beta=114.54 gamma=64.91
Atoms (fractional coordinates):
1 Pm 0.219 0.219 0.327
2 Pm 0.781 0.781 0.673
3 Ho 0.500 0.500 0.000
4 Pd 0.000 0.500 0.000
5 Pd 0.154 0.154 0.659
6 Pd 0.500 0.000 0.000
7 Pd 0.846 0.846 0.341

***

PmHoPdPt | PBE | optimized geometry

Volume ... 22.2 Å³/atom
Total moment ... 0.000 Bohr magnetons per cell
Total energy ... -6.14 eV/atom
E_form ... -0.999 eV/atom
Excess energy over the best structure of this formula in the dataset ... 0.0628 eV per atom

Unit cell a=5.006 b=5.006 c=5.006 alpha=60.00 beta=60.00 gamma=60.00
Atoms (fractional coordinates):
1 Pm 0.000 0.000 0.000
2 Ho 0.500 0.500 0.500
3 Pd 0.750 0.750 0.750
4 Pt 0.250 0.250 0.250

***

PmHoPdPt | PBE | optimized geometry

Volume ... 23.0 Å³/atom
Total moment ... 0.000 Bohr magnetons per cell
Total energy ... -6.20 eV/atom
E_form ... -1.062 eV/atom
Excess energy over the best structure of this formula in the dataset ... 0.0000 eV per atom

Unit cell a=4.521 b=5.675 c=5.675 alpha=39.23 beta=90.00 gamma=90.00
Atoms (fractional coordinates):
1 Pm 0.000 0.000 0.000
2 Ho 0.500 0.726 0.726
3 Pd 0.500 0.447 0.447
4 Pt 0.000 0.274 0.274

***

PmHoPdRh | PBE | optimized geometry

Volume ... 21.5 Å³/atom
Total moment ... 0.000 Bohr magnetons per cell
Total energy ... -6.28 eV/atom
E_form ... -0.810 eV/atom
Excess energy over the best structure of this formula in the dataset ... 0.0220 eV per atom

Unit cell a=4.958 b=4.958 c=4.958 alpha=60.00 beta=60.00 gamma=60.00
Atoms (fractional coordinates):
1 Pm 0.000 0.000 0.000
2 Ho 0.500 0.500 0.500
3 Pd 0.250 0.250 0.250
4 Rh 0.750 0.750 0.750